Here is a geometry-optimized TaFeMo2 structure from the Alexandria database. Energies are from GGA-PBEsol.

Structure (CIF):
```
data_TaFeMo2
_chemical_formula_sum 'Ta1 Fe1 Mo2'
_symmetry_space_group_name_H-M 'P 1'
_symmetry_Int_Tables_number 1
_symmetry_space_group_name_Hall 'P 1'
_cell_length_a 4.371
_cell_length_b 4.371
_cell_length_c 4.371
_cell_angle_alpha 60.00
_cell_angle_beta 60.00
_cell_angle_gamma 60.00
loop_
_atom_site_label
_atom_site_type_symbol
_atom_site_fract_x
_atom_site_fract_y
_atom_site_fract_z
Ta1 Ta 0.000 0.000 0.000
Fe1 Fe 0.500 0.500 0.500
Mo1 Mo 0.250 0.250 0.250
Mo2 Mo 0.750 0.750 0.750
```

Properties
The calculated volume comes out at 14.76 A^3/atom. As for the energy above the most stable polymorph in this dataset: 0.1240 eV/atom. The value obtained for the formation energy is 0.12 eV per atom. The total moment is 0.422 μB per atom. Its total DFT energy (no corrections) is -11.14 eV/atom.